Entry 1:
Material: SrPOs2
Method: DFT, PBE
State: relaxed

extended XYZ file:
```
8
Lattice="-2.458 2.458 7.928 2.458 -2.458 7.928 2.458 2.458 -7.928" Properties=species:S:1:pos:R:3 pbc="T T T"
Sr 0.000 0.000 0.000
Sr 0.000 2.458 3.964
P 2.458 0.000 3.964
P 0.000 0.000 7.928
Os 1.229 -0.052 5.946
Os 2.406 1.229 1.982
Os 1.229 2.510 -1.982
Os 0.052 1.229 9.910
```

Summary:
* volume: 192 Å³/cell
* space-group type: I-42d
* total energy: -7.19 eV per atom



Entry 2:
Material: SrPOs2
Method: DFT, PBE
State: relaxed

extended XYZ file:
```
4
Lattice="-1.452 2.693 4.824 1.452 -2.693 4.824 1.452 2.693 -4.824" Properties=species:S:1:pos:R:3 pbc="T T T"
Sr 0.000 0.000 0.000
P 1.452 0.000 2.642
Os 0.000 0.000 4.499
Os 0.000 2.693 1.814
```

Summary:
* volume: 75 Å³/cell
* space-group type: Imm2
* total energy: -6.79 eV per atom



Energy relative to the elements values, unit eV per atom, following the record order: 0.193; 0.598.